# GGA-PBE NbFeAsSe2, relaxed
data_NbFeAsSe2
_chemical_formula_sum 'Nb1 Fe1 As1 Se2'
_symmetry_space_group_name_H-M 'P 1'
_symmetry_Int_Tables_number 1
_cell_length_a 4.9878
_cell_length_b 4.9878
_cell_length_c 5.0935
_cell_angle_alpha 90.00
_cell_angle_beta 90.00
_cell_angle_gamma 90.00
loop_
_symmetry_equiv_pos_as_xyz
'x,y,z'
loop_
_atom_site_label
_atom_site_fract_x
_atom_site_fract_y
_atom_site_fract_z
_atom_site_occupancy
Nb1 0.0000 0.0000 0.0000 1
Fe1 0.5000 0.5000 0.5000 1
As1 0.0000 0.0000 0.5000 1
Se1 0.0000 0.5000 0.0000 1
Se2 0.5000 0.0000 0.0000 1
# Theoretical density (g/cm3): 5.001
# Volume (Å³/f.u.): 126.7
# Magnetic moment (Bohr magnetons per cell): 3.87
# Space-group type: No. 123
# Formation energy from raw total energies (eV/atom): 0.535

***

# GGA-PBE NbB2Mo, relaxed
data_NbB2Mo
_chemical_formula_sum 'Nb1 B2 Mo1'
_symmetry_space_group_name_H-M 'P 1'
_symmetry_Int_Tables_number 1
_cell_length_a 3.1317
_cell_length_b 4.6308
_cell_length_c 4.6308
_cell_angle_alpha 40.92
_cell_angle_beta 90.00
_cell_angle_gamma 90.00
loop_
_symmetry_equiv_pos_as_xyz
'x,y,z'
loop_
_atom_site_label
_atom_site_fract_x
_atom_site_fract_y
_atom_site_fract_z
_atom_site_occupancy
Nb1 0.0000 0.0000 0.0000 1
B1 0.0000 0.2938 0.2938 1
B2 0.5000 0.4093 0.4093 1
Mo1 0.5000 0.7103 0.7103 1
# Energy (eV per atom): -9.213
# Theoretical density (g/cm3): 7.946
# Volume (Å³/f.u.): 44.0
# Magnetic moment (Bohr magnetons per cell): 0.00
# Space-group type: No. 38

***

# GGA-PBE PrPu4Th, relaxed
data_PrPu4Th
_chemical_formula_sum 'Pr1 Pu4 Th1'
_symmetry_space_group_name_H-M 'P 1'
_symmetry_Int_Tables_number 1
_cell_length_a 6.1943
_cell_length_b 6.1943
_cell_length_c 6.1943
_cell_angle_alpha 60.00
_cell_angle_beta 60.00
_cell_angle_gamma 60.00
loop_
_symmetry_equiv_pos_as_xyz
'x,y,z'
loop_
_atom_site_label
_atom_site_fract_x
_atom_site_fract_y
_atom_site_fract_z
_atom_site_occupancy
Pr1 0.0000 0.0000 0.0000 1
Pu1 0.3759 0.3759 0.3759 1
Pu2 0.3759 0.3759 0.8722 1
Pu3 0.3759 0.8722 0.3759 1
Pu4 0.8722 0.3759 0.3759 1
Th1 0.7500 0.7500 0.7500 1
# Energy (eV per atom): -11.364
# Theoretical density (g/cm3): 13.328
# Volume (Å³/f.u.): 168.1
# Magnetic moment (Bohr magnetons per cell): 22.41
# Space-group type: No. 216

***

# GGA-PBE PRuCl2F, relaxed
data_PRuCl2F
_chemical_formula_sum 'P1 Ru1 Cl2 F1'
_symmetry_space_group_name_H-M 'P 1'
_symmetry_Int_Tables_number 1
_cell_length_a 5.2440
_cell_length_b 5.2440
_cell_length_c 3.5676
_cell_angle_alpha 90.00
_cell_angle_beta 90.00
_cell_angle_gamma 90.00
loop_
_symmetry_equiv_pos_as_xyz
'x,y,z'
loop_
_atom_site_label
_atom_site_fract_x
_atom_site_fract_y
_atom_site_fract_z
_atom_site_occupancy
P1 0.0000 0.0000 0.0000 1
Ru1 0.5000 0.5000 0.0000 1
Cl1 0.0000 0.5000 0.5000 1
Cl2 0.5000 0.0000 0.5000 1
F1 0.0000 0.0000 0.5000 1
# Theoretical density (g/cm3): 3.757
# Volume (Å³/f.u.): 98.1
# Magnetic moment (Bohr magnetons per cell): 2.88
# Space-group type: No. 123
# Formation energy from raw total energies (eV/atom): 0.626

***

# GGA-PBE La3SnO, relaxed
data_La3SnO
_chemical_formula_sum 'La6 Sn2 O2'
_symmetry_space_group_name_H-M 'P 1'
_symmetry_Int_Tables_number 1
_cell_length_a 5.7263
_cell_length_b 5.7263
_cell_length_c 9.4853
_cell_angle_alpha 90.00
_cell_angle_beta 90.00
_cell_angle_gamma 120.00
loop_
_symmetry_equiv_pos_as_xyz
'x,y,z'
loop_
_atom_site_label
_atom_site_fract_x
_atom_site_fract_y
_atom_site_fract_z
_atom_site_occupancy
La1 0.0000 0.0000 0.2500 1
La2 0.0000 0.0000 0.7500 1
La3 0.3333 0.6667 0.0926 1
La4 0.3333 0.6667 0.4074 1
La5 0.6667 0.3333 0.5926 1
La6 0.6667 0.3333 0.9074 1
Sn1 0.3333 0.6667 0.7500 1
Sn2 0.6667 0.3333 0.2500 1
O1 0.0000 0.0000 0.0000 1
O2 0.0000 0.0000 0.5000 1
# Theoretical density (g/cm3): 6.799
# Volume (Å³/f.u.): 134.7
# Magnetic moment (Bohr magnetons per cell): 0.00
# Space-group type: No. 194
# Formation energy from raw total energies (eV/atom): -1.181

***

# GGA-PBE Sm5YHo4, relaxed
data_Sm5YHo4
_chemical_formula_sum 'Sm5 Y1 Ho4'
_symmetry_space_group_name_H-M 'P 1'
_symmetry_Int_Tables_number 1
_cell_length_a 7.9049
_cell_length_b 7.9049
_cell_length_c 7.9049
_cell_angle_alpha 99.12
_cell_angle_beta 99.12
_cell_angle_gamma 133.08
loop_
_symmetry_equiv_pos_as_xyz
'x,y,z'
loop_
_atom_site_label
_atom_site_fract_x
_atom_site_fract_y
_atom_site_fract_z
_atom_site_occupancy
Sm1 0.0000 0.0000 0.0000 1
Sm2 0.0341 0.4151 0.9165 1
Sm3 0.1176 0.0341 0.6190 1
Sm4 0.4151 0.4985 0.3810 1
Sm5 0.4985 0.1176 0.0835 1
Y1 0.5412 0.5412 0.0000 1
Ho1 0.1119 0.7187 0.3000 1
Ho2 0.4187 0.8119 0.7000 1
Ho3 0.7187 0.4187 0.6068 1
Ho4 0.8119 0.1119 0.3932 1
# Energy (eV per atom): -4.540
# Theoretical density (g/cm3): 7.528
# Volume (Å³/f.u.): 330.9
# Magnetic moment (Bohr magnetons per cell): 0.00
# Space-group type: No. 79

***

# GGA-PBE AcPr2SmTe5, relaxed
data_AcPr2SmTe5
_chemical_formula_sum 'Ac1 Pr2 Sm1 Te5'
_symmetry_space_group_name_H-M 'P 1'
_symmetry_Int_Tables_number 1
_cell_length_a 5.6389
_cell_length_b 5.6389
_cell_length_c 12.3113
_cell_angle_alpha 90.00
_cell_angle_beta 90.00
_cell_angle_gamma 90.00
loop_
_symmetry_equiv_pos_as_xyz
'x,y,z'
loop_
_atom_site_label
_atom_site_fract_x
_atom_site_fract_y
_atom_site_fract_z
_atom_site_occupancy
Ac1 0.0000 0.0000 0.0000 1
Pr1 0.5000 0.5000 0.3527 1
Pr2 0.5000 0.5000 0.6473 1
Sm1 0.0000 0.0000 0.5000 1
Te1 0.0000 0.0000 0.2542 1
Te2 0.0000 0.0000 0.7458 1
Te3 0.0000 0.5000 0.5000 1
Te4 0.5000 0.0000 0.5000 1
Te5 0.5000 0.5000 0.0000 1
# Theoretical density (g/cm3): 5.502
# Volume (Å³/f.u.): 391.5
# Magnetic moment (Bohr magnetons per cell): 0.44
# Space-group type: No. 123
# Formation energy from raw total energies (eV/atom): -0.893

***

# GGA-PBE La5Sm3Th2, relaxed
data_La5Sm3Th2
_chemical_formula_sum 'La10 Sm6 Th4'
_symmetry_space_group_name_H-M 'P 1'
_symmetry_Int_Tables_number 1
_cell_length_a 9.1941
_cell_length_b 9.1941
_cell_length_c 10.2648
_cell_angle_alpha 109.59
_cell_angle_beta 109.59
_cell_angle_gamma 104.42
loop_
_symmetry_equiv_pos_as_xyz
'x,y,z'
loop_
_atom_site_label
_atom_site_fract_x
_atom_site_fract_y
_atom_site_fract_z
_atom_site_occupancy
La1 0.0107 0.9893 0.7500 1
La2 0.1234 0.3785 0.7534 1
La3 0.2210 0.7790 0.7500 1
La4 0.3785 0.1234 0.2534 1
La5 0.4737 0.5263 0.2500 1
La6 0.5263 0.4737 0.7500 1
La7 0.6215 0.8766 0.7466 1
La8 0.7790 0.2210 0.2500 1
La9 0.8766 0.6215 0.2466 1
La10 0.9893 0.0107 0.2500 1
Sm1 0.2250 0.4754 0.4478 1
Sm2 0.2650 0.7350 0.2500 1
Sm3 0.4754 0.2250 0.9478 1
Sm4 0.5246 0.7750 0.0522 1
Sm5 0.7350 0.2650 0.7500 1
Sm6 0.7750 0.5246 0.5522 1
Th1 0.0321 0.2815 0.0626 1
Th2 0.2815 0.0321 0.5626 1
Th3 0.7185 0.9679 0.4374 1
Th4 0.9679 0.7185 0.9374 1
# Energy (eV per atom): -5.183
# Theoretical density (g/cm3): 7.600
# Volume (Å³/f.u.): 351.7
# Magnetic moment (Bohr magnetons per cell): 0.00
# Space-group type: No. 15

***

# GGA-PBE Mn2TlRh, relaxed
data_Mn2TlRh
_chemical_formula_sum 'Mn2 Tl1 Rh1'
_symmetry_space_group_name_H-M 'P 1'
_symmetry_Int_Tables_number 1
_cell_length_a 3.1694
_cell_length_b 3.1694
_cell_length_c 6.4467
_cell_angle_alpha 90.00
_cell_angle_beta 90.00
_cell_angle_gamma 90.00
loop_
_symmetry_equiv_pos_as_xyz
'x,y,z'
loop_
_atom_site_label
_atom_site_fract_x
_atom_site_fract_y
_atom_site_fract_z
_atom_site_occupancy
Mn1 0.0000 0.0000 0.0000 1
Mn2 0.5000 0.5000 0.2242 1
Tl1 0.5000 0.5000 0.7194 1
Rh1 0.0000 0.0000 0.4343 1
# Energy (eV per atom): -6.767
# Theoretical density (g/cm3): 10.697
# Volume (Å³/f.u.): 64.8
# Magnetic moment (Bohr magnetons per cell): 7.16
# Space-group type: No. 99

***

# GGA-PBE PtAu2, relaxed
data_PtAu2
_chemical_formula_sum 'Pt2 Au4'
_symmetry_space_group_name_H-M 'P 1'
_symmetry_Int_Tables_number 1
_cell_length_a 5.6232
_cell_length_b 5.6232
_cell_length_c 6.9726
_cell_angle_alpha 106.94
_cell_angle_beta 106.94
_cell_angle_gamma 29.53
loop_
_symmetry_equiv_pos_as_xyz
'x,y,z'
loop_
_atom_site_label
_atom_site_fract_x
_atom_site_fract_y
_atom_site_fract_z
_atom_site_occupancy
Pt1 0.1971 0.1971 0.1290 1
Pt2 0.8029 0.8029 0.8710 1
Au1 0.1423 0.1423 0.5344 1
Au2 0.4787 0.4787 0.1954 1
Au3 0.5213 0.5213 0.8046 1
Au4 0.8577 0.8577 0.4656 1
# Energy (eV per atom): -4.154
# Theoretical density (g/cm3): 18.881
# Volume (Å³/f.u.): 51.8
# Magnetic moment (Bohr magnetons per cell): 0.00
# Space-group type: No. 12

***

# GGA-PBE BaGeP2Se8, relaxed
data_BaGeP2Se8
_chemical_formula_sum 'Ba1 Ge1 P2 Se8'
_symmetry_space_group_name_H-M 'P 1'
_symmetry_Int_Tables_number 1
_cell_length_a 6.3512
_cell_length_b 6.3512
_cell_length_c 9.3786
_cell_angle_alpha 90.00
_cell_angle_beta 90.00
_cell_angle_gamma 120.00
loop_
_symmetry_equiv_pos_as_xyz
'x,y,z'
loop_
_atom_site_label
_atom_site_fract_x
_atom_site_fract_y
_atom_site_fract_z
_atom_site_occupancy
Ba1 0.0000 0.0000 0.0000 1
Ge1 0.0000 0.0000 0.5000 1
P1 0.3333 0.6667 0.7390 1
P2 0.6667 0.3333 0.2610 1
Se1 0.0038 0.6880 0.3187 1
Se2 0.3120 0.3159 0.3187 1
Se3 0.3159 0.0038 0.6813 1
Se4 0.3333 0.6667 0.9715 1
Se5 0.6667 0.3333 0.0285 1
Se6 0.6841 0.9962 0.3187 1
Se7 0.6880 0.6841 0.6813 1
Se8 0.9962 0.3120 0.6813 1
# Theoretical density (g/cm3): 4.580
# Volume (Å³/f.u.): 327.6
# Magnetic moment (Bohr magnetons per cell): 0.00
# Space-group type: No. 147
# Formation energy from raw total energies (eV/atom): -0.388

***

# GGA-PBE LiAlCr2, relaxed
data_LiAlCr2
_chemical_formula_sum 'Li1 Al1 Cr2'
_symmetry_space_group_name_H-M 'P 1'
_symmetry_Int_Tables_number 1
_cell_length_a 2.4840
_cell_length_b 2.4840
_cell_length_c 8.4827
_cell_angle_alpha 90.00
_cell_angle_beta 90.00
_cell_angle_gamma 90.00
loop_
_symmetry_equiv_pos_as_xyz
'x,y,z'
loop_
_atom_site_label
_atom_site_fract_x
_atom_site_fract_y
_atom_site_fract_z
_atom_site_occupancy
Li1 0.0000 0.0000 0.0000 1
Al1 0.0000 0.0000 0.5000 1
Cr1 0.5000 0.5000 0.2662 1
Cr2 0.5000 0.5000 0.7338 1
# Energy (eV per atom): -5.928
# Theoretical density (g/cm3): 4.375
# Volume (Å³/f.u.): 52.3
# Magnetic moment (Bohr magnetons per cell): 0.00
# Space-group type: No. 123